# Pm4Tl5Pt2 PBE optimized geometry
# - space-group type = P2/m (10)
# - total moment (μB per formula unit) = 0.0
# - total DFT energy (no corrections) (eV/cell) = -49.57
data_Pm4Tl5Pt2
_chemical_formula_sum 'Pm4 Tl5 Pt2'
_symmetry_space_group_name_H-M 'P 1'
_symmetry_Int_Tables_number 1
_cell_length_a 3.7742
_cell_length_b 8.0705
_cell_length_c 9.8675
_cell_angle_alpha 93.83
_cell_angle_beta 90.00
_cell_angle_gamma 90.00
loop_
_symmetry_equiv_pos_as_xyz
'x,y,z'
loop_
_atom_site_label
_atom_site_type_symbol
_atom_site_fract_x
_atom_site_fract_y
_atom_site_fract_z
Tl1 Tl 0.0000 0.5000 0.0000
Tl2 Tl 0.0000 0.4580 0.6666
Tl3 Tl 0.0000 0.5420 0.3334
Tl4 Tl 0.0000 0.1540 0.1365
Tl5 Tl 0.0000 0.8460 0.8635
Pt1 Pt 0.0000 0.0784 0.6342
Pt2 Pt 0.0000 0.9216 0.3658
Pm1 Pm 0.5000 0.1899 0.8467
Pm2 Pm 0.5000 0.2153 0.4291
Pm3 Pm 0.5000 0.8101 0.1533
Pm4 Pm 0.5000 0.7847 0.5709

***

# Pm4TlPt2 PBE optimized geometry
# - space-group type = Fddd (70)
# - total moment (μB per formula unit) = 0.0
# - total DFT energy (no corrections) (eV/cell) = -76.08
data_Pm4TlPt2
_chemical_formula_sum 'Pm8 Tl2 Pt4'
_symmetry_space_group_name_H-M 'P 1'
_symmetry_Int_Tables_number 1
_cell_length_a 7.9781
_cell_length_b 7.9781
_cell_length_c 8.4990
_cell_angle_alpha 109.06
_cell_angle_beta 109.06
_cell_angle_gamma 107.71
loop_
_symmetry_equiv_pos_as_xyz
'x,y,z'
loop_
_atom_site_label
_atom_site_type_symbol
_atom_site_fract_x
_atom_site_fract_y
_atom_site_fract_z
Tl1 Tl 0.0000 0.0000 0.0000
Tl2 Tl 0.2500 0.7500 0.5000
Pm1 Pm 0.7663 0.0646 0.6637
Pm2 Pm 0.8971 0.5993 0.6635
Pm3 Pm 0.3147 0.5164 0.1638
Pm4 Pm 0.4835 0.6855 0.8364
Pm5 Pm 0.4009 0.1027 0.3362
Pm6 Pm 0.3526 0.1509 0.8361
Pm7 Pm 0.9356 0.2336 0.3365
Pm8 Pm 0.8492 0.6472 0.1636
Pt1 Pt 0.6250 0.3748 0.2498
Pt2 Pt 0.1249 0.3752 0.7502
Pt3 Pt 0.6252 0.8749 0.2501
Pt4 Pt 0.6250 0.3750 0.7499

***

# Pm7Tl2Pt PBE optimized geometry
# - space-group type = Fm-3m (225)
# - total moment (μB per formula unit) = 0.0
# - total DFT energy (no corrections) (eV/cell) = -42.84
data_Pm7Tl2Pt
_chemical_formula_sum 'Pm7 Tl2 Pt1'
_symmetry_space_group_name_H-M 'P 1'
_symmetry_Int_Tables_number 1
_cell_length_a 7.9215
_cell_length_b 7.9215
_cell_length_c 7.9215
_cell_angle_alpha 60.00
_cell_angle_beta 60.00
_cell_angle_gamma 60.00
loop_
_symmetry_equiv_pos_as_xyz
'x,y,z'
loop_
_atom_site_label
_atom_site_type_symbol
_atom_site_fract_x
_atom_site_fract_y
_atom_site_fract_z
Pm1 Pm 0.5000 0.5000 0.5000
Pm2 Pm 0.7549 0.2451 0.7549
Pm3 Pm 0.2451 0.2451 0.7549
Pm4 Pm 0.2451 0.7549 0.7549
Pm5 Pm 0.2451 0.7549 0.2451
Pm6 Pm 0.7549 0.7549 0.2451
Pm7 Pm 0.7549 0.2451 0.2451
Pt1 Pt 0.0000 0.0000 0.0000
Tl1 Tl 0.7500 0.7500 0.7500
Tl2 Tl 0.2500 0.2500 0.2500

***

# PmTlPt10 PBE optimized geometry
# - space-group type = Pmmm (47)
# - total moment (μB per formula unit) = 0.0
# - total DFT energy (no corrections) (eV/cell) = -71.84
data_PmTlPt10
_chemical_formula_sum 'Pm1 Tl1 Pt10'
_symmetry_space_group_name_H-M 'P 1'
_symmetry_Int_Tables_number 1
_cell_length_a 4.4256
_cell_length_b 5.4418
_cell_length_c 9.3310
_cell_angle_alpha 90.00
_cell_angle_beta 90.00
_cell_angle_gamma 90.00
loop_
_symmetry_equiv_pos_as_xyz
'x,y,z'
loop_
_atom_site_label
_atom_site_type_symbol
_atom_site_fract_x
_atom_site_fract_y
_atom_site_fract_z
Pt1 Pt 0.5000 0.0000 0.5000
Pt2 Pt 0.0000 0.5000 0.1717
Pt3 Pt 0.0000 0.5000 0.8283
Pt4 Pt 0.0000 0.0000 0.6635
Pt5 Pt 0.5000 0.5000 0.0000
Pt6 Pt 0.0000 0.0000 0.3365
Pt7 Pt 0.5000 0.2463 0.7555
Pt8 Pt 0.5000 0.7537 0.2445
Pt9 Pt 0.5000 0.2463 0.2445
Pt10 Pt 0.5000 0.7537 0.7555
Tl1 Tl 0.0000 0.5000 0.5000
Pm1 Pm 0.0000 0.0000 0.0000

***

# Pm4Tl2Pt PBE optimized geometry
# - space-group type = C2/m (12)
# - total moment (μB per formula unit) = 0.0
# - total DFT energy (no corrections) (eV/cell) = -32.90
data_Pm4Tl2Pt
_chemical_formula_sum 'Pm4 Tl2 Pt1'
_symmetry_space_group_name_H-M 'P 1'
_symmetry_Int_Tables_number 1
_cell_length_a 3.9689
_cell_length_b 6.6120
_cell_length_c 9.2538
_cell_angle_alpha 112.75
_cell_angle_beta 102.38
_cell_angle_gamma 90.00
loop_
_symmetry_equiv_pos_as_xyz
'x,y,z'
loop_
_atom_site_label
_atom_site_type_symbol
_atom_site_fract_x
_atom_site_fract_y
_atom_site_fract_z
Pm1 Pm 0.3843 0.7343 0.7686
Pm2 Pm 0.6157 0.2657 0.2314
Pm3 Pm 0.0906 0.7374 0.1811
Pm4 Pm 0.9094 0.2626 0.8189
Tl1 Tl 0.2574 0.2114 0.5148
Tl2 Tl 0.7426 0.7886 0.4852
Pt1 Pt 0.0000 0.0000 0.0000

***

# Pm5TlPt PBE optimized geometry
# - space-group type = C2/c (15)
# - total moment (μB per formula unit) = 0.0
# - total DFT energy (no corrections) (eV/cell) = -68.97
data_Pm5TlPt
_chemical_formula_sum 'Pm10 Tl2 Pt2'
_symmetry_space_group_name_H-M 'P 1'
_symmetry_Int_Tables_number 1
_cell_length_a 6.1326
_cell_length_b 6.1326
_cell_length_c 11.8801
_cell_angle_alpha 78.82
_cell_angle_beta 78.82
_cell_angle_gamma 80.68
loop_
_symmetry_equiv_pos_as_xyz
'x,y,z'
loop_
_atom_site_label
_atom_site_type_symbol
_atom_site_fract_x
_atom_site_fract_y
_atom_site_fract_z
Pm1 Pm 0.0685 0.4389 0.8704
Pm2 Pm 0.9868 0.0132 0.7500
Pm3 Pm 0.4585 0.7765 0.9460
Pm4 Pm 0.5415 0.2235 0.0540
Pm5 Pm 0.9315 0.5611 0.1296
Pm6 Pm 0.7765 0.4585 0.4460
Pm7 Pm 0.0132 0.9868 0.2500
Pm8 Pm 0.4389 0.0685 0.3704
Pm9 Pm 0.2235 0.5415 0.5540
Pm10 Pm 0.5611 0.9315 0.6296
Tl1 Tl 0.4124 0.5876 0.2500
Tl2 Tl 0.5876 0.4124 0.7500
Pt1 Pt 0.0000 0.0000 0.0000
Pt2 Pt 0.0000 0.0000 0.5000

***

# Pm4Tl3Pt PBE optimized geometry
# - space-group type = P4/mmm (123)
# - total moment (μB per formula unit) = 0.0
# - total DFT energy (no corrections) (eV/cell) = -36.63
data_Pm4Tl3Pt
_chemical_formula_sum 'Pm4 Tl3 Pt1'
_symmetry_space_group_name_H-M 'P 1'
_symmetry_Int_Tables_number 1
_cell_length_a 3.6856
_cell_length_b 3.6856
_cell_length_c 16.2842
_cell_angle_alpha 90.00
_cell_angle_beta 90.00
_cell_angle_gamma 90.00
loop_
_symmetry_equiv_pos_as_xyz
'x,y,z'
loop_
_atom_site_label
_atom_site_type_symbol
_atom_site_fract_x
_atom_site_fract_y
_atom_site_fract_z
Pm1 Pm 0.0000 0.0000 0.8953
Pm2 Pm 0.0000 0.0000 0.6318
Pm3 Pm 0.0000 0.0000 0.3682
Pm4 Pm 0.0000 0.0000 0.1047
Tl1 Tl 0.5000 0.5000 0.5000
Tl2 Tl 0.5000 0.5000 0.2394
Tl3 Tl 0.5000 0.5000 0.7606
Pt1 Pt 0.5000 0.5000 0.0000

***

# Pm8Tl2Pt PBE optimized geometry
# - offset from the most stable computed form (meV/atom) = 0
# - space-group type = C2/m (12)
# - total moment (μB per formula unit) = 0.0
data_Pm8Tl2Pt
_chemical_formula_sum 'Pm8 Tl2 Pt1'
_symmetry_space_group_name_H-M 'P 1'
_symmetry_Int_Tables_number 1
_cell_length_a 5.1543
_cell_length_b 6.9373
_cell_length_c 10.1069
_cell_angle_alpha 103.74
_cell_angle_beta 104.77
_cell_angle_gamma 90.00
loop_
_symmetry_equiv_pos_as_xyz
'x,y,z'
loop_
_atom_site_label
_atom_site_type_symbol
_atom_site_fract_x
_atom_site_fract_y
_atom_site_fract_z
Pm1 Pm 0.7889 0.6773 0.5779
Pm2 Pm 0.4100 0.5399 0.8200
Pm3 Pm 0.5900 0.4601 0.1800
Pm4 Pm 0.0169 0.7799 0.0339
Pm5 Pm 0.9831 0.2201 0.9661
Pm6 Pm 0.6489 0.9927 0.2979
Pm7 Pm 0.2111 0.3227 0.4221
Pm8 Pm 0.3511 0.0073 0.7021
Pt1 Pt 0.5000 0.0000 0.0000
Tl1 Tl 0.8179 0.2436 0.6357
Tl2 Tl 0.1821 0.7564 0.3643

***

Question: What is the total moment in the second record?
Answer: 0.0 μB per formula unit